[1]
BaTlIr2 (PBE-GGA, optimized geometry); spin magnetization = 0.0 μB per formula unit; E_form = 251.5 meV per atom; space group = Imm2
1.0
-1.5414 0.2363 5.3861
4.8983 -1.6742 2.1552
-1.5157 4.3891 -3.1433
Tl Ir Ba
1 2 1
Direct
0.5524 0.5524 0.0000 Tl
0.9060 0.9060 0.0000 Ir
0.8042 0.3042 0.5000 Ir
0.2374 0.7374 0.5000 Ba

=====

[2]
La3TaMn (PBE-GGA, optimized geometry); spin magnetization = 0.0 μB per formula unit; E_form = 805.8 meV per atom; space group = Pm-3m
1.0
5.2037 0.0000 0.0000
0.0000 5.2037 0.0000
0.0000 0.0000 5.2037
Ta La Mn
1 3 1
Direct
0.5000 0.5000 0.5000 Ta
0.0000 0.0000 0.5000 La
0.0000 0.5000 0.0000 La
0.5000 0.0000 0.0000 La
0.0000 0.0000 0.0000 Mn

=====

[3]
Nd3Y5Er3 (PBE-GGA, optimized geometry); spin magnetization = 0.0 μB per formula unit; E_form = 775.9 meV per atom; space group = P-62m
1.0
5.6655 -0.0001 0.0000
-0.0002 8.4008 -4.8502
0.0000 0.0000 9.7004
Y Er Nd
5 3 3
Direct
0.5000 0.7284 0.7284 Y
0.5000 0.3333 0.6667 Y
0.5000 0.0000 0.2716 Y
0.5000 0.6667 0.3333 Y
0.5000 0.2716 0.0000 Y
0.5000 0.0000 0.6276 Er
0.5000 0.6276 0.0000 Er
0.5000 0.3724 0.3724 Er
0.0000 0.5288 0.5288 Nd
0.0000 0.0000 0.4712 Nd
0.0000 0.4712 0.0000 Nd

=====

[4]
Cs2NaAgH (PBE-GGA, optimized geometry); energy = -9.0 eV for the cell shown; spin magnetization = 0.6 μB per formula unit; space group = P4/mmm
1.0
-5.6841 -0.3005 2.6983
-1.1977 -5.3407 -3.1179
1.8882 -2.5779 3.6905
Cs Ag H Na
2 1 1 1
Direct
0.5000 0.0000 0.0000 Cs
0.0000 0.5000 0.0000 Cs
0.5000 0.5000 0.5000 Ag
0.0000 0.0000 0.0000 H
0.0000 0.0000 0.5000 Na

=====

[5]
KCaTe2 (PBE-GGA, optimized geometry); uncorrected formation energy = -3.856 eV per formula unit; spin magnetization = 0.7 μB per formula unit; space group = P4/mmm
1.0
-1.9586 4.2238 -0.6822
-4.2386 -1.8132 0.9428
0.8267 1.4268 6.4609
Te K Ca
2 1 1
Direct
0.5000 0.5000 0.3747 Te
0.0000 0.0000 0.8756 Te
0.5000 0.5000 0.8746 K
0.0000 0.0000 0.3751 Ca

=====

[6]
Sc4Tl3In (PBE-GGA, optimized geometry); spin magnetization = 0.0 μB per formula unit; E_form = -289.1 meV per atom; space group = I4/mmm
1.0
-4.6440 -1.9905 -0.5252
0.7322 -2.8085 4.1691
-0.7680 7.6879 2.2206
Tl Sc In
3 4 1
Direct
0.0000 0.5000 0.0000 Tl
0.2508 0.7509 0.5016 Tl
0.7492 0.2491 0.4984 Tl
0.3755 0.3756 0.7511 Sc
0.8755 0.8755 0.7511 Sc
0.1245 0.1245 0.2489 Sc
0.6245 0.6244 0.2489 Sc
0.5000 0.0000 0.0000 In

=====

[7]
AsIrPbSe2 (PBE-GGA, optimized geometry); uncorrected formation energy = 8.562 eV per formula unit; spin magnetization = 2.1 μB per formula unit; space group = P4/mmm
1.0
-1.0915 -4.9805 -1.5527
-0.1656 -1.5524 5.0961
-5.2538 1.1002 0.1644
As Ir Se Pb
1 1 2 1
Direct
0.0000 0.0000 0.5000 As
0.5000 0.5000 0.5000 Ir
0.5000 0.0000 0.0000 Se
0.0000 0.5000 0.0000 Se
0.0000 0.0000 0.0000 Pb

=====

[8]
ZrCoHg (PBE-GGA, optimized geometry); spin magnetization = 0.0 μB per formula unit; E_form = 82.9 meV per atom; space group = F-43m
1.0
-0.1020 -3.2262 2.9429
2.2748 -3.6635 -0.6957
3.5358 -0.8669 2.4138
Zr Hg Co
1 1 1
Direct
0.5000 0.5000 0.5000 Zr
0.0000 0.0000 0.0000 Hg
0.7500 0.7500 0.7500 Co

=====

[9]
Be2V6Ge (PBE-GGA, optimized geometry); spin magnetization = 0.0 μB per formula unit; E_form = -95.9 meV per atom; space group = Immm
1.0
-2.6868 4.6965 -3.9185
-3.7623 -1.9089 5.1800
5.4853 2.1151 3.1731
Be V Ge
4 12 2
Direct
0.3570 0.0000 0.3570 Be
0.5000 0.3828 0.8828 Be
0.6430 0.0000 0.6430 Be
0.5000 0.6172 0.1172 Be
0.4991 0.2956 0.2036 V
0.0920 0.2956 0.7964 V
0.2924 0.6110 0.3186 V
0.5009 0.7044 0.7964 V
0.2183 0.2520 0.4703 V
0.7817 0.2520 0.0336 V
0.2924 0.9739 0.6814 V
0.7817 0.7480 0.5297 V
0.2183 0.7480 0.9664 V
0.7076 0.3890 0.6814 V
0.9080 0.7044 0.2036 V
0.7076 0.0261 0.3186 V
0.0000 0.0000 0.0000 Ge
0.0000 0.5000 0.5000 Ge

=====

[10]
Tl5Sn2Br12 (PBE-GGA, optimized geometry); uncorrected formation energy = -13.359 eV per formula unit; spin magnetization = 0.0 μB per formula unit; space group = C2/m
1.0
-4.7381 -0.1540 6.8996
9.1025 -2.5001 1.1167
1.1445 10.6871 1.0245
Br Tl Sn
12 5 2
Direct
0.8899 0.2877 0.5601 Br
0.5935 0.6881 0.9776 Br
0.9054 0.3119 0.0224 Br
0.9908 0.9815 0.8209 Br
0.3978 0.2877 0.5601 Br
0.4065 0.3119 0.0224 Br
0.5061 0.0121 0.1805 Br
0.0092 0.0185 0.1791 Br
0.6022 0.7123 0.4399 Br
0.4939 0.9879 0.8195 Br
0.1101 0.7123 0.4399 Br
0.0946 0.6881 0.9776 Br
0.7124 0.4248 0.3656 Tl
0.3020 0.6039 0.2321 Tl
0.6980 0.3961 0.7679 Tl
0.2876 0.5752 0.6344 Tl
0.0000 0.0000 0.5000 Tl
0.7502 0.0000 0.0000 Sn
0.2498 0.0000 0.0000 Sn

=====

[11]
Tb2NdSm3As6 (PBE-GGA, optimized geometry); spin magnetization = 0.0 μB per formula unit; E_form = -1526.2 meV per atom; space group = C2/m
1.0
-0.4901 5.5667 -4.6558
0.5638 -6.8025 -2.5126
-6.8595 -0.1657 2.4166
Sm As Nd Tb
3 6 1 2
Direct
0.8343 0.1657 0.5000 Sm
0.1657 0.8343 0.5000 Sm
0.5000 0.5000 0.5000 Sm
0.0828 0.4204 0.2483 As
0.5796 0.9172 0.7517 As
0.2552 0.2552 0.7524 As
0.4204 0.0828 0.2483 As
0.9172 0.5796 0.7517 As
0.7448 0.7448 0.2476 As
0.0000 0.0000 0.0000 Nd
0.3330 0.6670 0.0000 Tb
0.6670 0.3330 0.0000 Tb

=====

[12]
Pr2MnSn4 (PBE-GGA, optimized geometry); spin magnetization = 3.3 μB per formula unit; E_form = -480.7 meV per atom; space group = Amm2
1.0
2.7708 1.4890 8.6101
-4.8094 2.4880 -7.3964
-3.5923 -2.3164 1.5566
Sn Pr Mn
4 2 1
Direct
0.4587 0.5413 0.0000 Sn
0.7405 0.2595 0.0000 Sn
0.2382 0.7618 0.5000 Sn
0.5671 0.4329 0.5000 Sn
0.1037 0.8963 0.0000 Pr
0.8957 0.1043 0.5000 Pr
0.3122 0.6878 0.0000 Mn

=====

[13]
KCuPCl2 (PBE-GGA, optimized geometry); uncorrected formation energy = -2.179 eV per formula unit; spin magnetization = 1.9 μB per formula unit; space group = P4/mmm
1.0
-4.7154 -1.3374 1.7654
1.9901 -0.7359 4.7580
-0.8358 4.2828 1.0120
K Cu Cl P
1 1 2 1
Direct
0.5000 0.5000 0.5000 K
0.0000 0.0000 0.0000 Cu
0.0000 0.5000 0.0000 Cl
0.5000 0.0000 0.0000 Cl
0.0000 0.0000 0.5000 P

=====

[14]
KTc2Te (PBE-GGA, optimized geometry); uncorrected formation energy = 5.565 eV per formula unit; spin magnetization = 0.0 μB per formula unit; space group = Cmmm
1.0
5.8592 0.0179 0.0000
-3.0375 5.0104 0.0000
0.0000 0.0000 2.8027
K Tc Te
1 2 1
Direct
0.0000 0.5000 0.5000 K
0.0000 0.0000 0.0000 Tc
0.5000 0.5000 0.0000 Tc
0.5000 0.0000 0.5000 Te